# TeIr15, relaxed, DFT GGA-PBE
# Theoretical density, g/cm³: 13.5
# Crystal system: monoclinic
# Offset from the most stable computed form, meV/atom: 87.6
# Total moment, μB per cell: 0.0
# Raw total energy, eV per cell: -266.2
data_TeIr15
_chemical_formula_sum 'Te2 Ir30'
_space_group_name_H-M_alt 'P 1 21/m 1'
_space_group_IT_number 11
_cell_length_a 7.685
_cell_length_b 2.750
_cell_length_c 35.152
_cell_angle_alpha 90.00
_cell_angle_beta 90.00
_cell_angle_gamma 90.00
loop_
_space_group_symop_operation_xyz
'x,y,z'
'-x,-y,-z'
'-x,y+1/2,-z'
'x,-y+1/2,z'
loop_
_atom_site_label
_atom_site_fract_x
_atom_site_fract_y
_atom_site_fract_z
_atom_site_occupancy
Te1 0.125 0.250 0.296 1
Ir1 0.125 0.250 0.058 1
Ir2 0.125 0.250 0.136 1
Ir3 0.125 0.250 0.212 1
Ir4 0.125 0.250 0.826 1
Ir5 0.125 0.250 0.903 1
Ir6 0.125 0.250 0.980 1
Ir7 0.126 0.250 0.746 1
Ir8 0.375 0.750 0.020 1
Ir9 0.375 0.750 0.097 1
Ir10 0.375 0.750 0.174 1
Ir11 0.375 0.750 0.712 1
Ir12 0.375 0.750 0.787 1
Ir13 0.375 0.750 0.864 1
Ir14 0.375 0.750 0.942 1
Ir15 0.376 0.750 0.254 1

=====

# TaNiAsOs, relaxed, DFT GGA-PBE
# Theoretical density, g/cm³: 14.0
# Crystal system: cubic
# Total moment, μB per cell: 0.1
# Raw total energy, eV per cell: -130.0
data_TaNiAsOs
_chemical_formula_sum 'Ta4 Ni4 As4 Os4'
_space_group_name_H-M_alt 'F -4 3 m'
_space_group_IT_number 216
_space_group_name_Hall 'F -4 2 3'
_cell_length_a 6.212
_cell_length_b 6.212
_cell_length_c 6.212
_cell_angle_alpha 90.00
_cell_angle_beta 90.00
_cell_angle_gamma 90.00
loop_
_atom_site_label
_atom_site_fract_x
_atom_site_fract_y
_atom_site_fract_z
_atom_site_occupancy
Ta1 0.000 0.000 0.000 1
Ni1 0.000 0.000 0.500 1
As1 0.250 0.250 0.250 1
Os1 0.250 0.250 0.750 1

=====

# LiAlAgSn, relaxed, DFT GGA-PBE
# Theoretical density, g/cm³: 5.7
# Crystal system: cubic
# Offset from the most stable computed form, meV/atom: 38.1
# Raw total energy, eV per cell: -50.9
data_LiAlAgSn
_chemical_formula_sum 'Li4 Al4 Ag4 Sn4'
_space_group_name_H-M_alt 'F -4 3 m'
_space_group_IT_number 216
_space_group_name_Hall 'F -4 2 3'
_cell_length_a 6.729
_cell_length_b 6.729
_cell_length_c 6.729
_cell_angle_alpha 90.00
_cell_angle_beta 90.00
_cell_angle_gamma 90.00
loop_
_atom_site_label
_atom_site_fract_x
_atom_site_fract_y
_atom_site_fract_z
_atom_site_occupancy
Li1 0.000 0.000 0.000 1
Al1 0.250 0.250 0.250 1
Ag1 0.000 0.000 0.500 1
Sn1 0.250 0.250 0.750 1

=====

# HfTcNiSb, relaxed, DFT GGA-PBE
# Theoretical density, g/cm³: 11.0
# Crystal system: cubic
# Offset from the most stable computed form, meV/atom: 438.9
# Total moment, μB per cell: 5.4
# Raw total energy, eV per cell: -116.7
data_HfTcNiSb
_chemical_formula_sum 'Hf4 Tc4 Ni4 Sb4'
_space_group_name_H-M_alt 'F -4 3 m'
_space_group_IT_number 216
_space_group_name_Hall 'F -4 2 3'
_cell_length_a 6.509
_cell_length_b 6.509
_cell_length_c 6.509
_cell_angle_alpha 90.00
_cell_angle_beta 90.00
_cell_angle_gamma 90.00
loop_
_atom_site_label
_atom_site_fract_x
_atom_site_fract_y
_atom_site_fract_z
_atom_site_occupancy
Hf1 0.000 0.000 0.000 1
Tc1 0.250 0.250 0.750 1
Ni1 0.000 0.000 0.500 1
Sb1 0.250 0.250 0.250 1

=====

# La2HoMg3AgHg2, relaxed, DFT GGA-PBE
# Theoretical density, g/cm³: 7.2
# Crystal system: orthorhombic
# Total moment, μB per cell: 0.0
# Raw total energy, eV per cell: -51.5
data_La2HoMg3AgHg2
_chemical_formula_sum 'La4 Ho2 Mg6 Ag2 Hg4'
_space_group_name_H-M_alt 'A m m 2'
_space_group_IT_number 38
_cell_length_a 4.286
_cell_length_b 13.825
_cell_length_c 7.939
_cell_angle_alpha 90.00
_cell_angle_beta 90.00
_cell_angle_gamma 90.00
loop_
_space_group_symop_operation_xyz
'x,y,z'
'-x,-y,z'
'-x,y,z'
'x,-y,z'
'x,y+1/2,z+1/2'
'-x,-y+1/2,z+1/2'
'-x,y+1/2,z+1/2'
'x,-y+1/2,z+1/2'
loop_
_atom_site_label
_atom_site_fract_x
_atom_site_fract_y
_atom_site_fract_z
_atom_site_occupancy
La1 0.000 0.206 0.000 1
Ho1 0.000 0.000 0.615 1
Mg1 0.500 0.000 0.964 1
Mg2 0.500 0.118 0.329 1
Ag1 0.000 0.000 0.213 1
Hg1 0.500 0.159 0.702 1